A plane-wave DFT calculation with PBE-GGA was carried out for a geometry-optimized CaCd2 structure.

Unit cell a=3.7180 b=3.7180 c=7.1610 alpha=90.00 beta=90.00 gamma=120.00
Atoms (fractional coordinates):
Ca1 0.0000 0.0000 0.0000
Cd1 0.3333 0.6667 0.6521
Cd2 0.6667 0.3333 0.3479

Results
volume	28.58	Å³/atom
total DFT energy (no corrections)	-1.3978	eV per atom
ΔE_f	-0.12	eV/atom
Fermi-level density of states	0.638	states/eV/atom